DFT (PBE+U) results for an optimized crystal structure of Pr2NiO.

a b c (Å): 3.5515 3.5515 8.2396
angles (deg): 77.55 77.55 60.00
Fractional positions:
1 O 0.5000 0.5000 0.5000
2 Pr 0.1055 0.1055 0.6836
3 Ni 0.0000 0.0000 0.0000
4 Pr 0.8945 0.8945 0.3164

Output
* total magnetization: 0.00 μB per cell
* calculated total energy: -19.2 eV/cell


DFT (PBE+U) results for an optimized crystal structure of PrNiO3.

a b c (Å): 5.3804 5.3804 5.3804
angles (deg): 62.07 62.07 62.07
Last column: magnetic moment on the atom in μB.
Fractional positions:
1 O 0.1819 0.3181 0.7500  -0.11
2 Pr 0.7500 0.7500 0.7500  0.01
3 Ni 0.5000 0.5000 0.5000  1.37
4 O 0.2500 0.8181 0.6819  -0.11
5 Pr 0.2500 0.2500 0.2500  0.01
6 O 0.8181 0.6819 0.2500  -0.11
7 O 0.3181 0.7500 0.1819  -0.11
8 O 0.7500 0.1819 0.3181  -0.11
9 Ni 0.0000 0.0000 0.0000  1.37
10 O 0.6819 0.2500 0.8181  -0.11

Output
* total magnetization: 2.00 μB per cell
* calculated total energy: -65.3 eV/cell


DFT (PBE+U) results for an optimized crystal structure of Pr2NiPtO6.

a b c (Å): 5.8040 5.5174 9.6352
angles (deg): 55.04 90.00 90.00
Last column: magnetic moment on the atom in μB.
Fractional positions:
1 Pr 0.4347 0.2329 0.7494  0.00
2 O 0.2959 0.1417 0.0519  0.03
3 O 0.7959 0.8583 0.4481  0.03
4 O 0.9705 0.6515 0.2492  0.02
5 O 0.4705 0.3485 0.2508  0.02
6 Pt 0.5000 0.0000 0.5000  0.05
7 Ni 0.5000 0.5000 0.0000  1.75
8 Pr 0.9347 0.7671 0.7506  0.00
9 O 0.7041 0.8583 0.9481  0.03
10 Pt 0.0000 0.0000 0.0000  0.05
11 O 0.2041 0.1417 0.5519  0.03
12 O 0.5295 0.6515 0.7492  0.02
13 O 0.0295 0.3485 0.7508  0.02
14 O 0.3007 0.7499 0.4493  0.02
15 Ni 0.0000 0.5000 0.5000  1.75
16 Pr 0.5653 0.7671 0.2506  0.00
17 O 0.6993 0.2501 0.5507  0.02
18 Pr 0.0653 0.2329 0.2494  0.00
19 O 0.1993 0.7499 0.9493  0.02
20 O 0.8007 0.2501 0.0507  0.02

Output
* total magnetization: 3.94 μB per cell
* calculated total energy: -137.8 eV/cell


> Among the records above, which one has the highest calculated total energy?

Pr2NiO


> Among the records above, which one has the lowest calculated total energy?

Pr2NiPtO6